DFT (PBE-GGA) results for a relaxed structure of Sb5Pb6.

Energy relative to the elements, uncorrected (meV per atom): 81
Magnetic moment (Bohr magnetons per cell): 0.00
Space group: C2/m
Crystal system: monoclinic

Lattice parameters (Å, degrees): 7.7290 7.9560 7.8665 120.38 99.03 71.92
Last column: nearest neighbours and their distance in Å.
Positions (direct):
Sb 0.5000 0.5000 0.0000  6 Pb 3.10-3.21
Sb 0.0000 0.6730 0.3460  6 Pb 3.16-3.22
Sb 0.0000 0.3270 0.6540  6 Pb 3.16-3.22
Sb 0.5000 0.8454 0.6908  6 Pb 3.06-3.26
Sb 0.5000 0.1546 0.3092  6 Pb 3.06-3.26
Pb 0.7649 0.7231 0.0000  5 Sb 3.10-3.26
Pb 0.2351 0.2769 0.0000  5 Sb 3.10-3.26
Pb 0.7263 0.0941 0.6400  5 Sb 3.06-3.22
Pb 0.2737 0.5459 0.6400  5 Sb 3.06-3.22
Pb 0.2737 0.9059 0.3600  5 Sb 3.06-3.22
Pb 0.7263 0.4541 0.3600  5 Sb 3.06-3.22